HoTm3Sb2: relaxed, PBE.

Output
The calculation puts the total energy at -30.8 eV/cell. For the energy above the most stable polymorph in this dataset, the calculation gives 0.0000 eV/atom. For the uncorrected formation energy, the calculation gives -0.75 eV/atom.

abc: 4.437 4.437 8.326
angles: 90.00 90.00 90.00
Space group P-4m2 (No. 115)
Inequivalent atoms, fractional coordinates:
1 Ho 0.000 0.000 0.000 (multiplicity 1)
2 Tm 0.000 0.500 0.347 (multiplicity 2)
3 Tm 0.500 0.500 0.000 (multiplicity 1)
4 Sb 0.000 0.500 0.717 (multiplicity 2)

***

EuEr2S: relaxed, PBE.

Output
The calculation puts the total energy at -79.8 eV/cell. For the uncorrected formation energy, the calculation gives -0.77 eV/atom.

abc: 3.6948 3.6948 30.2850
angles: 90.00 90.00 120.00
Space group R-3m (No. 166, hexagonal axes)
Inequivalent atoms, fractional coordinates:
1 Eu 0.0000 0.0000 0.0000 (multiplicity 3)
2 Er 0.0000 0.0000 0.1139 (multiplicity 6)
3 S 0.0000 0.0000 0.5000 (multiplicity 3)

***

Pr4BiTe2S: relaxed, PBE.

Output
The calculation puts the total energy at -44.9 eV/cell. For the uncorrected formation energy, the calculation gives -1.44 eV/atom.

abc: 7.752 4.415 7.797
angles: 90.00 108.97 90.00
Space group P2/m (No. 10)
Inequivalent atoms, fractional coordinates:
1 Pr 0.220 0.000 0.220 (multiplicity 2)
2 Pr 0.231 0.500 0.768 (multiplicity 2)
3 Bi 0.500 0.000 0.000 (multiplicity 1)
4 Te 0.000 0.000 0.500 (multiplicity 1)
5 Te 0.500 0.500 0.500 (multiplicity 1)
6 S 0.000 0.500 0.000 (multiplicity 1)

***

Sr6HAu2N: relaxed, PBE.

Output
The calculation puts the total energy at -68.0 eV/cell.

abc: 7.255 7.790 12.571
angles: 90.00 125.02 90.00
Space group P2_1/c (No. 14)
Inequivalent atoms, fractional coordinates:
1 Sr 0.148 0.021 0.241 (multiplicity 4)
2 Sr 0.227 0.710 0.047 (multiplicity 4)
3 Sr 0.342 0.181 0.047 (multiplicity 4)
4 H 0.500 0.000 0.500 (multiplicity 2)
5 Au 0.281 0.083 0.751 (multiplicity 4)
6 N 0.000 0.000 0.000 (multiplicity 2)

***

LiTi3Pt3: relaxed, PBE.

Output
As for the calculated formation energy: -5.1 eV per formula unit. The calculation puts the total energy at -195.2 eV/cell.

abc: 7.730 7.730 7.730
angles: 90.00 90.00 90.00
Space group P2_13 (No. 198)
Inequivalent atoms, fractional coordinates:
1 Li 0.057 0.443 0.557 (multiplicity 4)
2 Ti 0.121 0.621 0.879 (multiplicity 4)
3 Ti 0.149 0.149 0.149 (multiplicity 4)
4 Ti 0.218 0.782 0.282 (multiplicity 4)
5 Pt 0.020 0.803 0.604 (multiplicity 12)

***

CeIrPd: relaxed, PBE.

Output
As for the calculated formation energy: -1.5 eV per formula unit. The calculation puts the total energy at -21.5 eV/cell. For the energy above the most stable polymorph in this dataset, the calculation gives 0.0000 eV/atom.

abc: 4.4113 4.4113 3.7620
angles: 90.00 90.00 120.00
Space group P-6m2 (No. 187)
Inequivalent atoms, fractional coordinates:
1 Ce 0.0000 0.0000 0.0000 (multiplicity 1)
2 Ir 0.3333 0.6667 0.5000 (multiplicity 1)
3 Pd 0.6667 0.3333 0.5000 (multiplicity 1)